# HfRu2IBr (GGA-PBE, optimized geometry)
# - ΔE_f (raw) (kJ/mol of atoms) = 146
data_HfRu2IBr
_cell_length_a 4.880
_cell_length_b 4.880
_cell_length_c 5.370
_cell_angle_alpha 90.00
_cell_angle_beta 90.00
_cell_angle_gamma 90.00
_symmetry_space_group_name_H-M 'P 4/m m m'
_symmetry_Int_Tables_number 123
_symmetry_space_group_name_Hall '-P 4 2'
loop_
_atom_site_label
_atom_site_type_symbol
_atom_site_fract_x
_atom_site_fract_y
_atom_site_fract_z
_atom_site_occupancy
Hf1 Hf 0.000 0.000 0.000 1
Ru1 Ru 0.000 0.500 0.500 1
I1 I 0.000 0.000 0.500 1
Br1 Br 0.500 0.500 0.000 1


# CeHo2In3 (GGA-PBE, optimized geometry)
# - formation energy from the elements (eV per atom) = -0.42
data_CeHo2In3
_cell_length_a 3.482
_cell_length_b 3.482
_cell_length_c 13.212
_cell_angle_alpha 90.00
_cell_angle_beta 90.00
_cell_angle_gamma 90.00
_symmetry_space_group_name_H-M 'P 4/m m m'
_symmetry_Int_Tables_number 123
_symmetry_space_group_name_Hall '-P 4 2'
loop_
_atom_site_label
_atom_site_type_symbol
_atom_site_fract_x
_atom_site_fract_y
_atom_site_fract_z
_atom_site_occupancy
Ce1 Ce 0.000 0.000 0.000 1
Ho1 Ho 0.000 0.000 0.338 1
In1 In 0.500 0.500 0.174 1
In2 In 0.500 0.500 0.500 1


# In2PtPb (GGA-PBE, optimized geometry)
# - formation energy from the elements (eV per atom) = -0.12
data_In2PtPb
_cell_length_a 5.753
_cell_length_b 9.635
_cell_length_c 3.812
_cell_angle_alpha 90.00
_cell_angle_beta 90.00
_cell_angle_gamma 90.00
_symmetry_space_group_name_H-M 'C m m m'
_symmetry_Int_Tables_number 65
_symmetry_space_group_name_Hall '-C 2 2'
loop_
_atom_site_label
_atom_site_type_symbol
_atom_site_fract_x
_atom_site_fract_y
_atom_site_fract_z
_atom_site_occupancy
In1 In 0.000 0.198 0.000 1
Pt1 Pt 0.000 0.000 0.500 1
Pb1 Pb 0.000 0.500 0.500 1


# Zn2MoOs (GGA-PBE, optimized geometry)
# - formation energy from the elements (eV per atom) = 0.05
# - energy above the most stable polymorph in this dataset (eV/f.u.) = 0.00
data_Zn2MoOs
_cell_length_a 2.997
_cell_length_b 2.997
_cell_length_c 6.658
_cell_angle_alpha 90.00
_cell_angle_beta 90.00
_cell_angle_gamma 90.00
_symmetry_space_group_name_H-M 'P 4 m m'
_symmetry_Int_Tables_number 99
loop_
_symmetry_equiv_pos_as_xyz
'x,y,z'
'-y,x,z'
'-x,-y,z'
'y,-x,z'
'-x,y,z'
'y,x,z'
'x,-y,z'
'-y,-x,z'
loop_
_atom_site_label
_atom_site_type_symbol
_atom_site_fract_x
_atom_site_fract_y
_atom_site_fract_z
_atom_site_occupancy
Zn1 Zn 0.000 0.000 0.000 1
Zn2 Zn 0.500 0.500 0.243 1
Mo1 Mo 0.000 0.000 0.519 1
Os1 Os 0.500 0.500 0.743 1